Entry 1:
# PBE Sr2SbAs3Pd4, relaxed
data_Sr2SbAs3Pd4
_space_group_name_H-M_alt 'P 1'
_space_group_IT_number 1
_cell_length_a 4.498
_cell_length_b 4.498
_cell_length_c 10.526
_cell_angle_alpha 90.00
_cell_angle_beta 90.00
_cell_angle_gamma 90.00
loop_
_space_group_symop_operation_xyz
'x,y,z'
loop_
_atom_site_label
_atom_site_type_symbol
_atom_site_fract_x
_atom_site_fract_y
_atom_site_fract_z
Sr1 Sr 0.000 0.500 0.238
Sr2 Sr 0.500 0.000 0.762
Sb1 Sb 0.000 0.000 0.500
As1 As 0.000 0.500 0.875
As2 As 0.500 0.000 0.125
As3 As 0.500 0.500 0.500
Pd1 Pd 0.000 0.000 0.000
Pd2 Pd 0.000 0.500 0.637
Pd3 Pd 0.500 0.000 0.363
Pd4 Pd 0.500 0.500 0.000
# DFT total energy in eV/atom: -4.98
# Space-group type: No. 115
# Size of the total moment in Bohr magnetons per cell: 0.00
# ΔE_f (raw) in eV per atom: -0.76



Entry 2:
# PBE TaSbAs2Pd, relaxed
data_TaSbAs2Pd
_space_group_name_H-M_alt 'P 1'
_space_group_IT_number 1
_cell_length_a 5.153
_cell_length_b 5.153
_cell_length_c 5.169
_cell_angle_alpha 90.00
_cell_angle_beta 90.00
_cell_angle_gamma 90.00
loop_
_space_group_symop_operation_xyz
'x,y,z'
loop_
_atom_site_label
_atom_site_type_symbol
_atom_site_fract_x
_atom_site_fract_y
_atom_site_fract_z
Ta1 Ta 0.000 0.000 0.000
Sb1 Sb 0.000 0.000 0.500
As1 As 0.000 0.500 0.500
As2 As 0.500 0.000 0.500
Pd1 Pd 0.500 0.500 0.000
# DFT total energy in eV/atom: -4.50
# Space-group type: No. 123
# Size of the total moment in Bohr magnetons per cell: 0.00
# ΔE_f (raw) in eV per atom: 1.60



Entry 3:
# PBE TbSb2As2Pd7, relaxed
data_TbSb2As2Pd7
_space_group_name_H-M_alt 'P 1'
_space_group_IT_number 1
_cell_length_a 3.984
_cell_length_b 3.984
_cell_length_c 15.638
_cell_angle_alpha 97.31
_cell_angle_beta 97.31
_cell_angle_gamma 90.04
loop_
_space_group_symop_operation_xyz
'x,y,z'
loop_
_atom_site_label
_atom_site_type_symbol
_atom_site_fract_x
_atom_site_fract_y
_atom_site_fract_z
Tb1 Tb 0.000 0.000 0.000
Sb1 Sb 0.212 0.212 0.427
Sb2 Sb 0.788 0.788 0.573
As1 As 0.381 0.381 0.761
As2 As 0.619 0.619 0.239
Pd1 Pd 0.071 0.571 0.143
Pd2 Pd 0.301 0.301 0.601
Pd3 Pd 0.429 0.929 0.857
Pd4 Pd 0.500 0.500 0.000
Pd5 Pd 0.571 0.071 0.143
Pd6 Pd 0.699 0.699 0.399
Pd7 Pd 0.929 0.429 0.857
# DFT total energy in eV/atom: -5.38
# Space-group type: No. 12
# Size of the total moment in Bohr magnetons per cell: 0.00
# ΔE_f (raw) in eV per atom: -0.51



Entry 4:
# PBE SbTe2AsPd, relaxed
data_SbTe2AsPd
_space_group_name_H-M_alt 'P 1'
_space_group_IT_number 1
_cell_length_a 5.460
_cell_length_b 5.460
_cell_length_c 5.198
_cell_angle_alpha 90.00
_cell_angle_beta 90.00
_cell_angle_gamma 90.00
loop_
_space_group_symop_operation_xyz
'x,y,z'
loop_
_atom_site_label
_atom_site_type_symbol
_atom_site_fract_x
_atom_site_fract_y
_atom_site_fract_z
Sb1 Sb 0.000 0.000 0.000
Te1 Te 0.000 0.500 0.500
Te2 Te 0.500 0.000 0.500
As1 As 0.000 0.000 0.500
Pd1 Pd 0.500 0.500 0.000
# DFT total energy in eV/atom: -3.24
# Polymorph energy (0 for the lowest one) in eV per atom: 0.282
# Space-group type: No. 123
# Size of the total moment in Bohr magnetons per cell: 0.00
# ΔE_f (raw) in eV per atom: 0.81



Entry 5:
# PBE SbTe2AsPd, relaxed
data_SbTe2AsPd
_space_group_name_H-M_alt 'P 1'
_space_group_IT_number 1
_cell_length_a 5.296
_cell_length_b 5.296
_cell_length_c 5.108
_cell_angle_alpha 90.00
_cell_angle_beta 90.00
_cell_angle_gamma 90.00
loop_
_space_group_symop_operation_xyz
'x,y,z'
loop_
_atom_site_label
_atom_site_type_symbol
_atom_site_fract_x
_atom_site_fract_y
_atom_site_fract_z
Sb1 Sb 0.000 0.000 0.000
Te1 Te 0.000 0.500 0.500
Te2 Te 0.500 0.000 0.500
As1 As 0.500 0.500 0.000
Pd1 Pd 0.000 0.000 0.500
# DFT total energy in eV/atom: -3.53
# Polymorph energy (0 for the lowest one) in eV per atom: 0.000
# Space-group type: No. 123
# Size of the total moment in Bohr magnetons per cell: 0.00
# ΔE_f (raw) in eV per atom: 0.52



Entry 6:
# PBE TiSbAs2Pd, relaxed
data_TiSbAs2Pd
_space_group_name_H-M_alt 'P 1'
_space_group_IT_number 1
_cell_length_a 4.829
_cell_length_b 4.829
_cell_length_c 4.908
_cell_angle_alpha 90.00
_cell_angle_beta 90.00
_cell_angle_gamma 90.00
loop_
_space_group_symop_operation_xyz
'x,y,z'
loop_
_atom_site_label
_atom_site_type_symbol
_atom_site_fract_x
_atom_site_fract_y
_atom_site_fract_z
Ti1 Ti 0.000 0.000 0.000
Sb1 Sb 0.500 0.500 0.500
As1 As 0.000 0.500 0.000
As2 As 0.500 0.000 0.000
Pd1 Pd 0.000 0.000 0.500
# DFT total energy in eV/atom: -5.03
# Space-group type: No. 123
# Size of the total moment in Bohr magnetons per cell: 0.00
# ΔE_f (raw) in eV per atom: 0.27



Entry 7:
# PBE TmSb2As2Pd7, relaxed
data_TmSb2As2Pd7
_space_group_name_H-M_alt 'P 1'
_space_group_IT_number 1
_cell_length_a 3.968
_cell_length_b 3.968
_cell_length_c 15.596
_cell_angle_alpha 97.26
_cell_angle_beta 97.26
_cell_angle_gamma 90.04
loop_
_space_group_symop_operation_xyz
'x,y,z'
loop_
_atom_site_label
_atom_site_type_symbol
_atom_site_fract_x
_atom_site_fract_y
_atom_site_fract_z
Tm1 Tm 0.000 0.000 0.000
Sb1 Sb 0.213 0.213 0.427
Sb2 Sb 0.787 0.787 0.573
As1 As 0.382 0.382 0.763
As2 As 0.618 0.618 0.237
Pd1 Pd 0.070 0.570 0.141
Pd2 Pd 0.301 0.301 0.602
Pd3 Pd 0.430 0.930 0.859
Pd4 Pd 0.500 0.500 0.000
Pd5 Pd 0.570 0.070 0.141
Pd6 Pd 0.699 0.699 0.398
Pd7 Pd 0.930 0.430 0.859
# DFT total energy in eV/atom: -5.39
# Space-group type: No. 12
# Size of the total moment in Bohr magnetons per cell: 0.00
# ΔE_f (raw) in eV per atom: -0.53



Entry 8:
# PBE ScAs2Pd, relaxed
data_ScAs2Pd
_space_group_name_H-M_alt 'P 1'
_space_group_IT_number 1
_cell_length_a 4.422
_cell_length_b 4.422
_cell_length_c 3.557
_cell_angle_alpha 90.00
_cell_angle_beta 90.00
_cell_angle_gamma 90.00
loop_
_space_group_symop_operation_xyz
'x,y,z'
loop_
_atom_site_label
_atom_site_type_symbol
_atom_site_fract_x
_atom_site_fract_y
_atom_site_fract_z
Sc1 Sc 0.000 0.000 0.000
As1 As 0.000 0.500 0.500
As2 As 0.500 0.000 0.500
Pd1 Pd 0.500 0.500 0.000
# DFT total energy in eV/atom: -5.90
# Space-group type: No. 123
# Calculated formation energy in eV/atom: -0.69
# Size of the total moment in Bohr magnetons per cell: 0.00



Entry 9:
# PBE ScAs3Pd, relaxed
data_ScAs3Pd
_space_group_name_H-M_alt 'P 1'
_space_group_IT_number 1
_cell_length_a 4.863
_cell_length_b 4.863
_cell_length_c 4.863
_cell_angle_alpha 90.00
_cell_angle_beta 90.00
_cell_angle_gamma 90.00
loop_
_space_group_symop_operation_xyz
'x,y,z'
loop_
_atom_site_label
_atom_site_type_symbol
_atom_site_fract_x
_atom_site_fract_y
_atom_site_fract_z
Sc1 Sc 0.000 0.000 0.000
As1 As 0.000 0.500 0.500
As2 As 0.500 0.000 0.500
As3 As 0.500 0.500 0.000
Pd1 Pd 0.500 0.500 0.500
# DFT total energy in eV/atom: -4.93
# Polymorph energy (0 for the lowest one) in eV per atom: 0.000
# Space-group type: No. 221
# Calculated formation energy in eV/atom: 0.17
# Size of the total moment in Bohr magnetons per cell: 0.00



Entry 10:
# PBE ScAs2Pd, relaxed
data_ScAs2Pd
_space_group_name_H-M_alt 'P 1'
_space_group_IT_number 1
_cell_length_a 4.650
_cell_length_b 4.650
_cell_length_c 4.650
_cell_angle_alpha 60.00
_cell_angle_beta 60.00
_cell_angle_gamma 60.00
loop_
_space_group_symop_operation_xyz
'x,y,z'
loop_
_atom_site_label
_atom_site_type_symbol
_atom_site_fract_x
_atom_site_fract_y
_atom_site_fract_z
Sc1 Sc 0.000 0.000 0.000
As1 As 0.250 0.250 0.250
As2 As 0.750 0.750 0.750
Pd1 Pd 0.500 0.500 0.500
# DFT total energy in eV/atom: -5.73
# Space-group type: No. 225
# Calculated formation energy in eV/atom: -0.52
# Size of the total moment in Bohr magnetons per cell: 0.00



Entry 11:
# PBE Sc2AsPd8, relaxed
data_Sc2AsPd8
_space_group_name_H-M_alt 'P 1'
_space_group_IT_number 1
_cell_length_a 7.836
_cell_length_b 7.836
_cell_length_c 7.836
_cell_angle_alpha 146.15
_cell_angle_beta 136.88
_cell_angle_gamma 55.91
loop_
_space_group_symop_operation_xyz
'x,y,z'
loop_
_atom_site_label
_atom_site_type_symbol
_atom_site_fract_x
_atom_site_fract_y
_atom_site_fract_z
Sc1 Sc 0.189 0.189 0.000
Sc2 Sc 0.811 0.811 0.000
As1 As 0.500 0.500 0.000
Pd1 Pd 0.104 0.364 0.740
Pd2 Pd 0.249 0.000 0.249
Pd3 Pd 0.313 0.813 0.500
Pd4 Pd 0.376 0.636 0.740
Pd5 Pd 0.624 0.364 0.260
Pd6 Pd 0.687 0.187 0.500
Pd7 Pd 0.751 0.000 0.751
Pd8 Pd 0.896 0.636 0.260
# DFT total energy in eV/atom: -6.02
# Space-group type: No. 71
# Calculated formation energy in eV/atom: -0.67
# Size of the total moment in Bohr magnetons per cell: 0.00



Entry 12:
# PBE Sc2As2Pd, relaxed
data_Sc2As2Pd
_space_group_name_H-M_alt 'P 1'
_space_group_IT_number 1
_cell_length_a 7.024
_cell_length_b 7.024
_cell_length_c 3.753
_cell_angle_alpha 90.00
_cell_angle_beta 90.00
_cell_angle_gamma 90.00
loop_
_space_group_symop_operation_xyz
'x,y,z'
loop_
_atom_site_label
_atom_site_type_symbol
_atom_site_fract_x
_atom_site_fract_y
_atom_site_fract_z
Sc1 Sc 0.157 0.343 0.000
Sc2 Sc 0.343 0.843 0.000
Sc3 Sc 0.657 0.157 0.000
Sc4 Sc 0.843 0.657 0.000
As1 As 0.152 0.652 0.500
As2 As 0.348 0.152 0.500
As3 As 0.652 0.848 0.500
As4 As 0.848 0.348 0.500
Pd1 Pd 0.000 0.000 0.500
Pd2 Pd 0.500 0.500 0.500
# DFT total energy in eV/atom: -6.41
# Space-group type: No. 127
# Calculated formation energy in eV/atom: -0.98
# Size of the total moment in Bohr magnetons per cell: 0.00